No. 1
Density functional theory data (GGA-PBE) for a geometry-optimized Na5B7C3 structure.

**Relative energy among the computed polymorphs**: 9 meV/atom
**ΔE_f**: 122 meV/atom
**N(E_F)**: 0.203 states/eV per atom
**Total energy**: -5.278 eV per atom

Unit cell a=22.9834 b=2.8372 c=9.9941 alpha=90.00 beta=107.27 gamma=90.00
Space group Cm (No. 8)
Unique sites:
Na  0.0000  0.0000  0.0000
Na  0.0005  0.5000  0.4938
Na  0.1001  0.0000  0.6948
Na  0.1007  0.5000  0.2002
Na  0.2004  0.0000  0.4000
Na  0.2017  0.5000  0.8956
Na  0.2984  0.5000  0.6016
Na  0.3015  0.0000  0.0996
Na  0.3992  0.0000  0.8011
Na  0.4011  0.5000  0.2976
B  0.0145  0.5000  0.7762
B  0.0164  0.0000  0.2813
B  0.0783  0.5000  0.9036
B  0.1136  0.5000  0.4742
B  0.1208  0.0000  0.9884
B  0.1855  0.0000  0.1187
B  0.2110  0.0000  0.6687
B  0.2240  0.5000  0.1972
B  0.2829  0.0000  0.8126
B  0.2913  0.5000  0.3311
B  0.3234  0.5000  0.8949
B  0.3827  0.0000  0.5129
B  0.4193  0.0000  0.0884
B  0.4731  0.5000  0.6930
C  0.0817  0.0000  0.4111
C  0.1795  0.5000  0.6046
C  0.3201  0.0000  0.3886
C  0.3870  0.5000  0.0237
C  0.4133  0.5000  0.5726
C  0.4842  0.0000  0.2181

=====

No. 2
Density functional theory data (GGA-PBE) for a geometry-optimized Tm2HfTl structure.

**Relative energy among the computed polymorphs**: 87 meV/atom
**ΔE_f**: -22 meV/atom
**N(E_F)**: 1.143 states/eV per atom
**Total energy**: -5.337 eV per atom

Unit cell a=4.6674 b=4.6674 c=4.6222 alpha=90.00 beta=90.00 gamma=90.00
Space group P4/mmm (No. 123)
Unique sites:
Tm  0.0000  0.5000  0.0000
Hf  0.0000  0.0000  0.5000
Tl  0.5000  0.5000  0.5000

=====

No. 3
Density functional theory data (GGA-PBE) for a geometry-optimized CsSr2Pb9 structure.

**ΔE_f**: -234 meV/atom
**N(E_F)**: 0.331 states/eV per atom
**Total energy**: -3.366 eV per atom

Unit cell a=6.8275 b=6.8275 c=32.2270 alpha=90.00 beta=90.00 gamma=120.00
Space group R-3m (No. 166, hexagonal axes)
Unique sites:
Cs  0.0000  0.0000  0.0000
Sr  0.0000  0.0000  0.1395
Pb  0.0000  0.0000  0.3366
Pb  0.0000  0.0000  0.5000
Pb  0.0114  0.5057  0.9130

=====

No. 4
Density functional theory data (GGA-PBE) for a geometry-optimized RbLiDy2I8 structure.

**Uncorrected formation energy**: -1.299 eV per atom
**N(E_F)**: 0.000 states/eV per atom
**Total energy**: -3.339 eV per atom

Unit cell a=7.9035 b=7.9035 c=9.3972 alpha=90.00 beta=90.00 gamma=120.00
Space group P-3 (No. 147)
Unique sites:
Rb  0.0000  0.0000  0.0000
Li  0.0000  0.0000  0.5000
Dy  0.3333  0.6667  0.4063
I  0.0647  0.3619  0.6545
I  0.3333  0.6667  0.0901

=====

No. 5
Density functional theory data (GGA-PBE) for a geometry-optimized Pa2GeOs structure.

**Relative energy among the computed polymorphs**: 120 meV/atom
**ΔE_f**: -356 meV/atom
**N(E_F)**: 0.991 states/eV per atom
**Total energy**: -9.065 eV per atom

Unit cell a=3.9867 b=3.9867 c=20.7811 alpha=90.00 beta=90.00 gamma=120.00
Space group R-3m (No. 166, hexagonal axes)
Unique sites:
Pa  0.0000  0.0000  0.2425
Ge  0.0000  0.0000  0.0000
Os  0.0000  0.0000  0.5000

=====

No. 6
Density functional theory data (GGA-PBE) for a geometry-optimized Fe3PIr structure.

**Relative energy among the computed polymorphs**: 712 meV/atom
**ΔE_f**: 1394 meV/atom
**N(E_F)**: 1.342 states/eV per atom
**Total energy**: -6.538 eV per atom

Unit cell a=4.6429 b=4.6429 c=4.6429 alpha=90.00 beta=90.00 gamma=90.00
Space group Pm-3m (No. 221)
Unique sites:
Fe  0.0000  0.0000  0.5000
P  0.5000  0.5000  0.5000
Ir  0.0000  0.0000  0.0000

=====

No. 7
Density functional theory data (GGA-PBE) for a geometry-optimized KYTe2O structure.

**Uncorrected formation energy**: -0.114 eV per atom
**N(E_F)**: 2.087 states/eV per atom
**Total energy**: -3.875 eV per atom

Unit cell a=5.6958 b=5.6958 c=12.0481 alpha=90.00 beta=90.00 gamma=90.00
Space group P4/mmm (No. 123)
Unique sites:
K  0.0000  0.0000  0.0000
Y  0.0000  0.0000  0.5000
Te  0.0000  0.5000  0.5000
O  0.5000  0.5000  0.0000

=====

No. 8
Density functional theory data (GGA-PBE) for a geometry-optimized Sr2RuRh2 structure.

**ΔE_f**: 87 meV/atom
**N(E_F)**: 1.257 states/eV per atom
**Total energy**: -5.381 eV per atom

Unit cell a=6.7705 b=6.7705 c=4.8664 alpha=90.00 beta=90.00 gamma=90.00
Space group P4/mbm (No. 127)
Unique sites:
Sr  0.1812  0.3188  0.0000
Ru  0.0000  0.0000  0.5000
Rh  0.1349  0.6349  0.5000

=====

No. 9
Density functional theory data (GGA-PBE) for a geometry-optimized PmGdErHg structure.

**ΔE_f**: -39 meV/atom
**N(E_F)**: 1.549 states/eV per atom
**Total energy**: -5.963 eV per atom

Unit cell a=7.6838 b=7.6838 c=7.6838 alpha=90.00 beta=90.00 gamma=90.00
Space group F-43m (No. 216)
Unique sites:
Pm  0.0000  0.0000  0.0000
Gd  0.2500  0.2500  0.2500
Er  0.2500  0.2500  0.7500
Hg  0.0000  0.0000  0.5000

=====

No. 10
Density functional theory data (GGA-PBE) for a geometry-optimized InIrBr2 structure.

**Relative energy among the computed polymorphs**: 112 meV/atom
**Uncorrected formation energy**: 0.055 eV per atom
**N(E_F)**: 0.455 states/eV per atom
**Total energy**: -3.681 eV per atom

Unit cell a=3.7483 b=3.7483 c=25.9680 alpha=90.00 beta=90.00 gamma=120.00
Space group R3m (No. 160, hexagonal axes)
Unique sites:
In  0.0000  0.0000  0.0000
Ir  0.0000  0.0000  0.7341
Br  0.0000  0.0000  0.2585
Br  0.0000  0.0000  0.4559

=====

No. 11
Density functional theory data (GGA-PBE) for a geometry-optimized Pm4Sn3H2 structure.

**N(E_F)**: 0.619 states/eV per atom
**Total energy**: -4.830 eV per atom

Unit cell a=13.7971 b=9.7755 c=6.6573 alpha=90.00 beta=103.46 gamma=90.00
Space group C2/c (No. 15)
Unique sites:
Pm  0.1078  0.2254  0.0354
Pm  0.1933  0.4228  0.5922
Sn  0.0000  0.4916  0.2500
Sn  0.1149  0.1074  0.5730
H  0.2253  0.3659  0.9378

=====

No. 12
Density functional theory data (GGA-PBE) for a geometry-optimized AcAlZn4Pd2 structure.

**ΔE_f**: -362 meV/atom
**N(E_F)**: 0.652 states/eV per atom
**Total energy**: -3.279 eV per atom

Unit cell a=4.3699 b=4.3699 c=27.7600 alpha=90.00 beta=90.00 gamma=120.00
Space group R-3m (No. 166, hexagonal axes)
Unique sites:
Ac  0.0000  0.0000  0.0000
Al  0.0000  0.0000  0.5000
Zn  0.0000  0.0000  0.1267
Zn  0.0000  0.0000  0.4063
Pd  0.0000  0.0000  0.2249

=====

No. 13
Density functional theory data (GGA-PBE) for a geometry-optimized CePaMo structure.

**Relative energy among the computed polymorphs**: 385 meV/atom
**ΔE_f**: 401 meV/atom
**N(E_F)**: 1.640 states/eV per atom
**Total energy**: -8.353 eV per atom

Unit cell a=4.8951 b=4.8951 c=20.3141 alpha=90.00 beta=90.00 gamma=120.00
Space group R-3m (No. 166, hexagonal axes)
Unique sites:
Ce  0.0000  0.0000  0.1108
Pa  0.0000  0.0000  0.4259
Mo  0.0000  0.0000  0.3072

=====

No. 14
Density functional theory data (GGA-PBE) for a geometry-optimized NaCd4In structure.

**Relative energy among the computed polymorphs**: 18 meV/atom
**ΔE_f**: -19 meV/atom
**N(E_F)**: 0.720 states/eV per atom
**Total energy**: -1.306 eV per atom

Unit cell a=8.4513 b=8.4513 c=8.4513 alpha=90.00 beta=90.00 gamma=90.00
Space group F-43m (No. 216)
Unique sites:
Na  0.0000  0.0000  0.0000
Cd  0.1255  0.1255  0.3745
In  0.2500  0.2500  0.7500

=====

No. 15
Density functional theory data (GGA-PBE) for a geometry-optimized BaSc2Si structure.

**Uncorrected formation energy**: 0.259 eV per atom
**N(E_F)**: 1.091 states/eV per atom
**Total energy**: -4.743 eV per atom

Unit cell a=6.6695 b=10.7484 c=3.3668 alpha=90.00 beta=119.02 gamma=90.00
Space group C2/m (No. 12)
Unique sites:
Ba  0.0000  0.0000  0.0000
Sc  0.2500  0.2500  0.5000
Si  0.0000  0.5000  0.0000

=====

No. 16
Density functional theory data (GGA-PBE) for a geometry-optimized ErPa3Tl4O12 structure.

**Uncorrected formation energy**: -2.491 eV per atom
**N(E_F)**: 0.675 states/eV per atom
**Total energy**: -7.592 eV per atom

Unit cell a=8.7964 b=8.7964 c=8.7964 alpha=90.00 beta=90.00 gamma=90.00
Space group Im-3m (No. 229)
Unique sites:
Er  0.0000  0.0000  0.0000
Pa  0.0000  0.0000  0.5000
Tl  0.2500  0.2500  0.2500
O  0.0000  0.0000  0.2570
O  0.0000  0.2500  0.5000

=====

No. 17
Density functional theory data (GGA-PBE) for a geometry-optimized Sr2PbAu10 structure.

**ΔE_f**: -346 meV/atom
**N(E_F)**: 0.335 states/eV per atom
**Total energy**: -3.411 eV per atom

Unit cell a=5.8641 b=5.6247 c=18.1545 alpha=90.00 beta=100.80 gamma=90.00
Space group P2_1/c (No. 14)
Unique sites:
Sr  0.1864  0.2014  0.1503
Pb  0.5000  0.0000  0.5000
Au  0.0526  0.7436  0.0264
Au  0.0657  0.1963  0.3293
Au  0.2847  0.7373  0.7939
Au  0.3356  0.5242  0.4319
Au  0.4520  0.7009  0.1603

=====

No. 18
Density functional theory data (GGA-PBE) for a geometry-optimized Mg4Cd6Sn structure.

**ΔE_f**: 23 meV/atom
**N(E_F)**: 0.300 states/eV per atom
**Total energy**: -1.420 eV per atom

Unit cell a=5.9490 b=5.9490 c=15.2340 alpha=90.00 beta=90.00 gamma=90.00
Space group I-42m (No. 121)
Unique sites:
Mg  0.1984  0.1984  0.1736
Cd  0.0000  0.5000  0.0000
Cd  0.1842  0.1842  0.3641
Sn  0.0000  0.0000  0.0000

=====

No. 19
Density functional theory data (GGA-PBE) for a geometry-optimized BaNaTa structure.

**Relative energy among the computed polymorphs**: 840 meV/atom
**ΔE_f**: 1224 meV/atom
**N(E_F)**: 0.897 states/eV per atom
**Total energy**: -3.808 eV per atom

Unit cell a=5.7288 b=5.7288 c=3.0128 alpha=90.00 beta=90.00 gamma=120.00
Space group P-6m2 (No. 187)
Unique sites:
Ba  0.0000  0.0000  0.0000
Na  0.6667  0.3333  0.5000
Ta  0.3333  0.6667  0.0000

=====

No. 20
Density functional theory data (GGA-PBE) for a geometry-optimized YMgW4 structure.

**ΔE_f**: 324 meV/atom
**N(E_F)**: 1.287 states/eV per atom
**Total energy**: -9.654 eV per atom

Unit cell a=7.7300 b=7.7300 c=7.7300 alpha=90.00 beta=90.00 gamma=90.00
Space group F-43m (No. 216)
Unique sites:
Y  0.0000  0.0000  0.0000
Mg  0.2500  0.2500  0.7500
W  0.1247  0.1247  0.3753